Entry 1:
## InRuCl2 (PBE)

Data for a relaxed InRuCl2 crystal.

* space-group type: No. 122
* crystal system: tetragonal
* uncorrected formation energy: 0.19 eV/atom
* M_tot: 0.00 μB per formula unit
* E above lowest polymorph: 428.7 meV/atom

a = 7.402 Å, b = 7.402 Å, c = 7.402 Å
α = 130.09°, β = 130.09°, γ = 73.27°
Atoms (fractional coordinates):
In 0.000 0.000 0.000
In 0.750 0.250 0.500
Ru 0.250 0.750 0.500
Ru 0.500 0.500 0.000
Cl 0.232 0.625 0.107
Cl 0.375 0.482 0.607
Cl 0.518 0.125 0.893
Cl 0.875 0.768 0.393

---

Entry 2:
## HoInPdRu (PBE)

Data for a relaxed HoInPdRu crystal.

* space-group type: No. 216
* energy of formation from the pure elements: -519 meV per atom
* crystal system: cubic
* M_tot: 0.00 μB per formula unit
* E above lowest polymorph: 33.5 meV/atom

a = 4.720 Å, b = 4.720 Å, c = 4.720 Å
α = 60.00°, β = 60.00°, γ = 60.00°
Atoms (fractional coordinates):
Ho 0.000 0.000 0.000
In 0.500 0.500 0.500
Pd 0.250 0.250 0.250
Ru 0.750 0.750 0.750

---

Entry 3:
## SmYNiRu (PBE)

Data for a relaxed SmYNiRu crystal.

* space-group type: No. 99
* energy of formation from the pure elements: -319 meV per atom
* crystal system: tetragonal
* M_tot: 0.00 μB per formula unit

a = 3.430 Å, b = 3.430 Å, c = 6.895 Å
α = 90.00°, β = 90.00°, γ = 90.00°
Atoms (fractional coordinates):
Sm 0.000 0.000 0.000
Y 0.000 0.000 0.497
Ni 0.500 0.500 0.744
Ru 0.500 0.500 0.252

---

Entry 4:
## Ba4NaLi2 (PBE)

Data for a relaxed Ba4NaLi2 crystal.

* space-group type: No. 166
* energy of formation from the pure elements: 86 meV per atom
* crystal system: trigonal
* M_tot: 0.00 μB per formula unit
* E above lowest polymorph: 0.0 meV/atom

a = 9.989 Å, b = 9.989 Å, c = 9.989 Å
α = 38.09°, β = 38.09°, γ = 38.09°
Atoms (fractional coordinates):
Ba 0.096 0.096 0.096
Ba 0.361 0.361 0.361
Ba 0.639 0.639 0.639
Ba 0.904 0.904 0.904
Na 0.500 0.500 0.500
Li 0.232 0.232 0.232
Li 0.768 0.768 0.768

---

Summary of E_tot in eV per atom
-3.739, -5.965, -6.879, -1.748
(order as listed above)